# PBE-GGA Ho2C2Se, relaxed
data_Ho2C2Se
_chemical_formula_sum 'Ho8 C8 Se4'
_cell_length_a 13.5135
_cell_length_b 4.0027
_cell_length_c 6.8474
_cell_angle_alpha 90.00
_cell_angle_beta 102.92
_cell_angle_gamma 90.00
_symmetry_space_group_name_H-M 'C 1 2/c 1'
_symmetry_Int_Tables_number 15
loop_
_symmetry_equiv_pos_as_xyz
'x,y,z'
'-x,-y,-z'
'-x,y,-z+1/2'
'x,-y,z+1/2'
'x+1/2,y+1/2,z'
'-x+1/2,-y+1/2,-z'
'-x+1/2,y+1/2,-z+1/2'
'x+1/2,-y+1/2,z+1/2'
loop_
_atom_site_label
_atom_site_fract_x
_atom_site_fract_y
_atom_site_fract_z
_atom_site_occupancy
Ho1 0.1446 0.1801 0.1393 1
C1 0.2268 0.3742 0.5356 1
Se1 0.0000 0.2911 0.7500 1
# - energy (eV/cell) = -142.23
# - DOS at the Fermi energy (states/eV per cell) = 5.36